Below is a relaxed ZrAg2W crystal, with properties calculated at the GGA-PBE level.

Results
* total moment: 0.0 μB/f.u.
* formation energy from the elements: 36.5 kJ/mol of atoms
* space group: Immm

a = 5.7545 Å, b = 5.7545 Å, c = 5.7545 Å
α = 147.54°, β = 133.57°, γ = 57.79°
Positions (direct):
Ag: 0.9885 0.9885 0.0000
Ag: 0.5115 0.5115 0.0000
W: 0.7500 0.2500 0.5000
Zr: 0.2500 0.7500 0.5000

***

Below is a relaxed SrLiAs2 crystal, with properties calculated at the GGA-PBE level.

Results
* total moment: 0.0 μB/f.u.
* formation energy from the elements: -64.2 kJ/mol of atoms
* relative energy among the computed polymorphs: 41 kJ/mol of formula units
* space group: I-42d

a = 4.9333 Å, b = 4.9333 Å, c = 9.1800 Å
α = 74.41°, β = 74.41°, γ = 90.00°
Positions (direct):
Sr: 0.0000 0.0000 0.0000
Sr: 0.7500 0.2500 0.5000
As: 0.2651 0.1250 0.2500
As: 0.4849 0.6250 0.2500
As: 0.3750 0.7349 0.7500
As: 0.8750 0.5151 0.7500
Li: 0.5000 0.5000 0.0000
Li: 0.2500 0.7500 0.5000

***

Below is a relaxed GeAsSe2F crystal, with properties calculated at the GGA-PBE level.

Results
* total moment: 0.0 μB/f.u.
* relative energy among the computed polymorphs: 0 kJ/mol of formula units
* formation energy (no corrections): 1.31 eV per formula unit
* space group: P4/mmm

a = 5.1411 Å, b = 5.1411 Å, c = 3.9931 Å
α = 90.00°, β = 90.00°, γ = 90.00°
Positions (direct):
As: 0.0000 0.0000 0.5000
Ge: 0.5000 0.5000 0.5000
Se: 0.0000 0.5000 0.0000
Se: 0.5000 0.0000 0.0000
F: 0.0000 0.0000 0.0000

***

Below is a relaxed TlNi2 crystal, with properties calculated at the GGA-PBE level.

Results
* total moment: 0.0 μB/f.u.
* formation energy from the elements: 25.2 kJ/mol of atoms
* space group: Cm

a = 4.5985 Å, b = 4.5985 Å, c = 5.5183 Å
α = 77.87°, β = 77.87°, γ = 51.16°
Positions (direct):
Tl: 0.9891 0.9891 0.5256
Tl: 0.2890 0.2890 0.9198
Ni: 0.9616 0.9616 0.0590
Ni: 0.3158 0.3158 0.3870
Ni: 0.6398 0.6398 0.7209
Ni: 0.6380 0.6380 0.2211

***

Below is a relaxed Fe2Cu3 crystal, with properties calculated at the GGA-PBE level.

Results
* total moment: 5.3 μB/f.u.
* formation energy from the elements: 43.3 kJ/mol of atoms
* relative energy among the computed polymorphs: 154 kJ/mol of formula units
* space group: P-3m1

a = 3.9857 Å, b = 3.9857 Å, c = 4.9481 Å
α = 90.00°, β = 90.00°, γ = 120.00°
Site moments in Bohr magnetons follow the coordinates.
Positions (direct):
Fe: 0.6667 0.3333 0.1325  2.56
Fe: 0.3333 0.6667 0.8675  2.56
Cu: 0.0000 0.0000 0.0000  0.10
Cu: 0.6667 0.3333 0.6305  0.09
Cu: 0.3333 0.6667 0.3695  0.09

***

Below is a relaxed BaVSn3 crystal, with properties calculated at the GGA-PBE level.

Results
* total moment: 0.0 μB/f.u.
* formation energy from the elements: -24.9 kJ/mol of atoms
* relative energy among the computed polymorphs: 0 kJ/mol of formula units
* space group: Pm-3m

a = 5.2309 Å, b = 5.2309 Å, c = 5.2309 Å
α = 90.00°, β = 90.00°, γ = 90.00°
Positions (direct):
V: 0.0000 0.0000 0.0000
Ba: 0.5000 0.5000 0.5000
Sn: 0.0000 0.5000 0.0000
Sn: 0.0000 0.0000 0.5000
Sn: 0.5000 0.0000 0.0000

***

Below is a relaxed Re2SeN crystal, with properties calculated at the GGA-PBE level.

Results
* total moment: 0.0 μB/f.u.
* relative energy among the computed polymorphs: 0 kJ/mol of formula units
* formation energy (no corrections): 1.88 eV per formula unit
* space group: I-42d

a = 4.5124 Å, b = 4.5124 Å, c = 6.9759 Å
α = 71.13°, β = 71.13°, γ = 90.00°
Positions (direct):
Re: 0.5288 0.1250 0.2500
Re: 0.2212 0.6250 0.2500
Re: 0.3750 0.4712 0.7500
Re: 0.8750 0.7788 0.7500
Se: 0.0000 0.0000 0.0000
Se: 0.7500 0.2500 0.5000
N: 0.5000 0.5000 0.0000
N: 0.2500 0.7500 0.5000

***

Below is a relaxed CrAg2W crystal, with properties calculated at the GGA-PBE level.

Results
* total moment: 3.0 μB/f.u.
* formation energy from the elements: 86.0 kJ/mol of atoms
* relative energy among the computed polymorphs: 196 kJ/mol of formula units
* space group: P4/mmm

a = 4.8541 Å, b = 4.8541 Å, c = 2.8873 Å
α = 90.00°, β = 90.00°, γ = 90.00°
Site moments in Bohr magnetons follow the coordinates.
Positions (direct):
Ag: 0.0000 0.0000 0.0000  -0.01
Ag: 0.5000 0.5000 0.0000  -0.01
Cr: 0.5000 0.0000 0.5000  3.62
W: 0.0000 0.5000 0.5000  -0.75

***

Below is a relaxed HfAgC2S crystal, with properties calculated at the GGA-PBE level.

Results
* total moment: 0.0 μB/f.u.
* formation energy (no corrections): 9.60 eV per formula unit
* space group: P4/mmm

a = 4.0423 Å, b = 4.8085 Å, c = 4.0423 Å
α = 90.00°, β = 90.00°, γ = 90.00°
Positions (direct):
S: 0.0000 0.5000 0.0000
Hf: 0.5000 0.5000 0.5000
C: 0.0000 0.0000 0.5000
C: 0.5000 0.0000 0.0000
Ag: 0.0000 0.0000 0.0000

***

Below is a relaxed PmPr2NdTe5 crystal, with properties calculated at the GGA-PBE level.

Results
* total moment: 0.7 μB/f.u.
* formation energy (no corrections): -6.91 eV per formula unit
* space group: P4/mmm

a = 5.6942 Å, b = 5.6942 Å, c = 11.8888 Å
α = 90.00°, β = 90.00°, γ = 90.00°
Site moments in Bohr magnetons follow the coordinates.
Positions (direct):
Pm: 0.0000 0.0000 0.0000  0.01
Pr: 0.5000 0.5000 0.3444  0.17
Pr: 0.5000 0.5000 0.6556  0.17
Nd: 0.0000 0.0000 0.5000  0.01
Te: 0.0000 0.5000 0.5000  -0.01
Te: 0.5000 0.0000 0.5000  -0.01
Te: 0.0000 0.0000 0.7546  0.00
Te: 0.0000 0.0000 0.2454  0.00
Te: 0.5000 0.5000 0.0000  0.02

***

Below is a relaxed Sc3Mo4 crystal, with properties calculated at the GGA-PBE level.

Results
* total moment: 0.0 μB/f.u.
* formation energy from the elements: -0.5 kJ/mol of atoms
* relative energy among the computed polymorphs: 0 kJ/mol of formula units
* space group: I4/mmm

a = 3.2171 Å, b = 12.8743 Å, c = 3.2171 Å
α = 82.82°, β = 90.00°, γ = 97.18°
Positions (direct):
Mo: 0.1286 0.2573 0.8714
Mo: 0.4255 0.8511 0.5745
Mo: 0.5745 0.1489 0.4255
Mo: 0.8714 0.7427 0.1286
Sc: 0.0000 0.0000 0.0000
Sc: 0.3012 0.6024 0.6988
Sc: 0.6988 0.3976 0.3012

***

Below is a relaxed ErAgGe crystal, with properties calculated at the GGA-PBE level.

Results
* total moment: 0.0 μB/f.u.
* formation energy from the elements: -49.5 kJ/mol of atoms
* space group: P3m1

a = 3.5178 Å, b = 4.5077 Å, c = 4.5077 Å
α = 120.00°, β = 90.00°, γ = 90.00°
Positions (direct):
Ge: 0.1688 0.0000 0.0000
Ag: 0.1654 0.6667 0.3333
Er: 0.6658 0.3333 0.6667

***

Number 1: E_tot -25.69 eV per cell, density of states at the Fermi level 2.93 states/eV/f.u., V 18.38 A^3/atom. Number 2: E_tot -31.12 eV per cell, density of states at the Fermi level 0.18 states/eV/f.u., V 25.83 A^3/atom. Number 3: E_tot -16.80 eV per cell, density of states at the Fermi level 3.09 states/eV/f.u., V 21.11 A^3/atom. Number 4: E_tot -26.29 eV per cell, density of states at the Fermi level 2.07 states/eV/f.u., V 14.73 A^3/atom. Number 5: E_tot -26.97 eV per cell, density of states at the Fermi level 4.69 states/eV/f.u., V 13.61 A^3/atom. Number 6: E_tot -24.34 eV per cell, density of states at the Fermi level 1.40 states/eV/f.u., V 28.63 A^3/atom. Number 7: E_tot -69.65 eV per cell, density of states at the Fermi level 3.59 states/eV/f.u., V 15.79 A^3/atom. Number 8: E_tot -24.72 eV per cell, density of states at the Fermi level 4.18 states/eV/f.u., V 17.01 A^3/atom. Number 9: E_tot -25.78 eV per cell, density of states at the Fermi level 3.61 states/eV/f.u., V 15.71 A^3/atom. Number 10: E_tot -41.69 eV per cell, density of states at the Fermi level 4.18 states/eV/f.u., V 42.83 A^3/atom. Number 11: E_tot -62.36 eV per cell, density of states at the Fermi level 8.91 states/eV/f.u., V 18.74 A^3/atom. Number 12: E_tot -13.57 eV per cell, density of states at the Fermi level 1.02 states/eV/f.u., V 20.63 A^3/atom.